The following is a DFT calculation (PBE) of crystalline Rb4UCl10 at its relaxed geometry.

POSCAR file:
```
Rb4UCl10
1.0
6.8783 0.0000 3.1059
3.4392 8.3869 1.5529
-0.0123 0.0000 9.1967
Rb U Cl
4 1 10
Direct
0.4053 0.7895 0.3999
0.8052 0.6001 0.7895
0.1948 0.3999 0.2105
0.5947 0.2105 0.6001
0.0000 0.0000 0.0000
0.2500 0.5000 0.5000
0.7042 0.2512 0.9305
0.0445 0.0695 0.2512
0.3652 0.9305 0.7488
0.8860 0.7488 0.0695
0.2958 0.7488 0.0695
0.7500 0.5000 0.5000
0.1140 0.2512 0.9305
0.6348 0.0695 0.2512
0.9555 0.9305 0.7488
```

Computed properties:
Energy relative to the elements, uncorrected ... -1631.0 meV/atom
E ... -58.09 eV for the cell shown